(1)
Density functional theory data (PBE) for crystalline MgReOs4 at its relaxed geometry.

## Properties
SG: F-43m
Electronic total energy: -9.271 eV/atom
Spin magnetization: 0.000 μB/f.u.
N(E_F): 1.506 states/eV per atom
Calculated formation energy: 322 kJ/mol of formula units

Unit cell a=5.1277 b=5.1277 c=5.1277 alpha=60.00 beta=60.00 gamma=60.00
Atoms (fractional coordinates):
Mg1 0.0000 0.0000 0.0000
Re1 0.2500 0.2500 0.2500
Os1 0.1242 0.6253 0.6253
Os2 0.6253 0.1242 0.6253
Os3 0.6253 0.6253 0.1242
Os4 0.6253 0.6253 0.6253



(2)
Density functional theory data (PBE) for crystalline NaCuAs2Pd at its relaxed geometry.

## Properties
SG: I-4m2
Electronic total energy: -4.287 eV/atom
Spin magnetization: 0.000 μB/f.u.
N(E_F): 0.485 states/eV per atom
Calculated formation energy: -147 kJ/mol of formula units

Unit cell a=4.2458 b=4.2458 c=10.3728 alpha=90.00 beta=90.00 gamma=90.00
Atoms (fractional coordinates):
Na1 0.0000 0.0000 0.0000
Na2 0.5000 0.5000 0.5000
Cu1 0.0000 0.5000 0.7500
Cu2 0.5000 0.0000 0.2500
As1 0.0000 0.0000 0.3795
As2 0.0000 0.0000 0.6205
As3 0.5000 0.5000 0.1205
As4 0.5000 0.5000 0.8795
Pd1 0.0000 0.5000 0.2500
Pd2 0.5000 0.0000 0.7500



Please write out number 2 again, unchanged.
Density functional theory data (PBE) for crystalline NaCuAs2Pd at its relaxed geometry.

## Properties
SG: I-4m2
Electronic total energy: -4.287 eV/atom
Spin magnetization: 0.000 μB/f.u.
N(E_F): 0.485 states/eV per atom
Calculated formation energy: -147 kJ/mol of formula units

Unit cell a=4.2458 b=4.2458 c=10.3728 alpha=90.00 beta=90.00 gamma=90.00
Atoms (fractional coordinates):
Na1 0.0000 0.0000 0.0000
Na2 0.5000 0.5000 0.5000
Cu1 0.0000 0.5000 0.7500
Cu2 0.5000 0.0000 0.2500
As1 0.0000 0.0000 0.3795
As2 0.0000 0.0000 0.6205
As3 0.5000 0.5000 0.1205
As4 0.5000 0.5000 0.8795
Pd1 0.0000 0.5000 0.2500
Pd2 0.5000 0.0000 0.7500